No. 1
Entry from Alexandria: a relaxed LiCo2Pt2 crystal (PBE).

extended XYZ file:
```
5
Lattice="3.3486 0.0000 0.0000 0.0000 3.3486 0.0000 1.6743 1.6743 6.4839" Properties=species:S:1:pos:R:3 pbc="T T T"
Pt 3.3486 3.3486 5.1627
Pt 1.6743 1.6743 1.3212
Co 1.6743 3.3486 3.2420
Co 3.3486 1.6743 3.2420
Li 0.0000 0.0000 0.0000
```

Results
ΔE_f: 0.051 eV/atom

***

No. 2
Entry from Alexandria: a relaxed Y2ErScP4 crystal (PBE).

extended XYZ file:
```
8
Lattice="-1.8491 3.1670 -1.4539 -4.8045 -4.0374 -2.6842 -1.8302 1.8294 6.3126" Properties=species:S:1:pos:R:3 pbc="T T T"
Sc 0.0000 0.0000 0.0000
P -2.5720 0.3882 4.1167
P -4.0628 -2.5962 -0.4884
P -5.9655 -0.0891 2.0406
P -2.5183 1.0482 0.1339
Er -3.3268 -0.4352 -2.0691
Y -3.3174 -1.1040 1.8142
Y -1.8397 2.4982 2.4294
```

Results
ΔE_f: -1.573 eV/atom

***

No. 3
Entry from Alexandria: a relaxed MgSc2CdPd4 crystal (PBE).

extended XYZ file:
```
8
Lattice="-2.7814 0.5637 3.6381 1.0890 -1.9134 4.0549 3.2293 5.8023 4.4958" Properties=species:S:1:pos:R:3 pbc="T T T"
Sc 0.4021 1.1427 3.0563
Sc 1.1347 3.3098 9.1325
Cd 0.7684 2.2262 6.0944
Mg 0.0000 0.0000 0.0000
Pd -0.6868 -0.1722 5.3535
Pd -0.3080 0.9320 8.3979
Pd 1.8448 3.5205 3.7909
Pd 2.2236 4.6247 6.8354
```

Results
ΔE_f: -0.779 eV/atom

***

No. 4
Entry from Alexandria: a relaxed Cr2NiRh crystal (PBE).

extended XYZ file:
```
4
Lattice="4.4593 0.0258 0.0000 1.3370 4.2542 0.0000 -2.8982 -2.1400 2.6281" Properties=species:S:1:pos:R:3 pbc="T T T"
Cr 0.0000 0.0000 0.0000
Cr 0.6685 2.1271 1.3141
Rh 2.2297 0.0129 1.3141
Ni 2.8982 2.1400 0.0000
```

Results
ΔE_f: 0.033 eV/atom

***

No. 5
Entry from Alexandria: a relaxed Ce2Ga3Au5 crystal (PBE).

extended XYZ file:
```
10
Lattice="4.2618 0.0000 0.0000 0.0000 4.2618 0.0000 0.0000 0.0000 11.6525" Properties=species:S:1:pos:R:3 pbc="T T T"
Au 2.1309 0.0000 9.8060
Au 2.1309 2.1309 0.0000
Au 0.0000 0.0000 0.0000
Au 2.1309 2.1309 5.8263
Au 0.0000 2.1309 1.8465
Ce 2.1309 0.0000 2.9530
Ce 0.0000 2.1309 8.6995
Ga 2.1309 0.0000 7.3235
Ga 0.0000 2.1309 4.3290
Ga 0.0000 0.0000 5.8263
```

Results
ΔE_f: -0.479 eV/atom

***

No. 6
Entry from Alexandria: a relaxed MnSiSnIrS crystal (PBE).

extended XYZ file:
```
10
Lattice="-3.6802 3.8668 4.6193 -2.0254 -2.3146 0.3239 6.3949 -5.2217 2.6741" Properties=species:S:1:pos:R:3 pbc="T T T"
Sn -1.3441 -0.1164 5.5272
Sn 2.8660 -1.5700 6.7023
Si -1.6643 -0.2965 2.2385
Si 2.5459 -1.7500 3.4136
Mn 3.9528 -5.1422 2.7353
Mn 1.7680 -1.3741 1.2362
Ir 0.6724 -1.9726 4.8723
Ir -1.5124 1.7955 3.3733
S 0.0446 -1.7475 2.5555
S 4.2548 -3.2010 3.7307
```

Results
Energy relative to the elements, uncorrected: -0.86 eV per formula unit

***

No. 7
Entry from Alexandria: a relaxed SrCaAu2 crystal (PBE).

extended XYZ file:
```
4
Lattice="6.0456 0.0378 -0.0044 4.6478 3.8663 -0.0044 0.0032 0.0012 4.8180" Properties=species:S:1:pos:R:3 pbc="T T T"
Au 10.2240 3.7328 0.5940
Au 8.5371 3.1169 3.0040
Ca 5.4687 1.9967 3.0071
Sr 2.5082 0.9158 0.5999
```

Results
ΔE_f: -0.778 eV/atom

***

No. 8
Entry from Alexandria: a relaxed Ca2PSe crystal (PBE).

extended XYZ file:
```
4
Lattice="5.2351 0.0000 0.0000 0.0000 5.2415 0.0000 0.0000 0.0000 3.3596" Properties=species:S:1:pos:R:3 pbc="T T T"
Ca 2.6176 2.6208 0.0000
Ca 0.0000 0.0000 0.0000
Se 0.0000 2.6208 1.6798
P 2.6176 0.0000 1.6798
```

Results
Energy relative to the elements, uncorrected: -4.70 eV per formula unit

***

No. 9
Entry from Alexandria: a relaxed RbTlBi crystal (PBE).

extended XYZ file:
```
3
Lattice="-0.1035 -2.2215 -3.2881 3.4664 -1.6517 1.0068 -5.2026 -3.2497 4.7556" Properties=species:S:1:pos:R:3 pbc="T T T"
Rb 0.8514 -3.1592 -0.2885
Bi -2.1386 -3.1499 2.1955
Tl -1.3359 -6.3808 1.9570
```

Results
ΔE_f: -0.193 eV/atom

***

No. 10
Entry from Alexandria: a relaxed Eu crystal (PBE).

extended XYZ file:
```
4
Lattice="3.8757 0.0000 0.0000 -1.9379 3.3565 0.0000 0.0000 0.0000 13.1902" Properties=species:S:1:pos:R:3 pbc="T T T"
Eu 0.0000 2.2376 3.2976
Eu 0.0000 0.0000 0.0000
Eu 0.0000 0.0000 6.5951
Eu 1.9379 1.1188 9.8927
```

Results
ΔE_f: 0.031 eV/atom

***

No. 11
Entry from Alexandria: a relaxed Pr7Dy12In crystal (PBE).

extended XYZ file:
```
20
Lattice="-7.0424 -4.1686 -3.2157 0.8228 -6.3628 6.0126 -5.2869 4.3274 5.5349" Properties=species:S:1:pos:R:3 pbc="T T T"
Dy -1.6561 -7.0135 4.2932
Dy -3.0221 -0.6868 4.2180
Dy -8.8321 -2.3701 5.9771
Dy -8.4844 -5.5173 4.1138
Dy -7.0481 -7.8915 1.4297
Dy -6.5476 -4.9796 7.1890
Dy -9.8504 0.8095 4.0386
Dy -8.0115 -2.2904 -0.9668
Dy -4.9589 -1.2245 1.1428
Dy -4.4584 1.6875 6.9021
Dy -2.6744 -3.8339 2.3548
Dy -3.4950 -3.9137 9.2986
Pr -8.5696 -1.8616 2.2583
Pr -2.9369 -4.3425 6.0736
Pr -6.4444 -4.6776 0.9801
Pr -4.8945 -6.6008 3.8047
Pr -5.7533 -3.1020 4.1659
Pr -6.6120 0.3968 4.5271
Pr -5.0621 -1.5265 7.3518
In 0.0000 0.0000 0.0000
```

Results
ΔE_f: 0.165 eV/atom

***

No. 12
Entry from Alexandria: a relaxed KCd6Hg8 crystal (PBE).

extended XYZ file:
```
15
Lattice="-6.0359 3.3789 3.1859 -5.8018 -4.6728 -1.5823 -1.0984 -3.8636 6.4703" Properties=species:S:1:pos:R:3 pbc="T T T"
Cd -7.1776 -3.0481 6.6494
Cd -3.8538 -3.3474 3.6855
Cd -8.0403 -4.8300 4.1289
Cd -5.7585 -2.1094 1.4245
Cd -9.0823 -1.8101 4.3885
Cd -4.8957 -0.3275 3.9451
Hg -4.2929 -2.2459 6.4996
Hg -5.9811 -5.1061 1.9677
Hg -2.7873 -1.1113 1.7397
Hg -10.1488 -4.0462 6.3343
Hg -8.6432 -2.9115 1.5744
Hg -6.9550 -0.0514 6.1062
Hg -7.6368 0.2112 2.7116
Hg -5.2993 -5.3687 5.3624
K 0.0000 0.0000 0.0000
```

Results
ΔE_f: -0.014 eV/atom

***

Number 1: volume 14.541 A^3/atom, Fermi-level density of states 0.908 states/eV per atom. Number 2: volume 21.648 A^3/atom, Fermi-level density of states 0.121 states/eV per atom. Number 3: volume 17.432 A^3/atom, Fermi-level density of states 0.625 states/eV per atom. Number 4: volume 12.442 A^3/atom, Fermi-level density of states 1.445 states/eV per atom. Number 5: volume 21.164 A^3/atom, Fermi-level density of states 1.699 states/eV per atom. Number 6: volume 16.273 A^3/atom, Fermi-level density of states 0.279 states/eV per atom. Number 7: volume 27.942 A^3/atom, Fermi-level density of states 0.572 states/eV per atom. Number 8: volume 23.047 A^3/atom, Fermi-level density of states 0.251 states/eV per atom. Number 9: volume 38.009 A^3/atom, Fermi-level density of states 0.324 states/eV per atom. Number 10: volume 42.897 A^3/atom, Fermi-level density of states 7.066 states/eV per atom. Number 11: volume 33.973 A^3/atom, Fermi-level density of states 1.689 states/eV per atom. Number 12: volume 27.144 A^3/atom, Fermi-level density of states 0.415 states/eV per atom.